1.
Ba2LiAuF: optimized geometry, PBE.

Cell lengths 5.745, 5.745, 4.163 Å; angles 90.00, 90.00, 90.00 degrees
Space group P4/mmm (No. 123)
Asymmetric unit:
Ba1 0.000 0.500 0.000 x2
Li1 0.000 0.000 0.500 x1
Au1 0.500 0.500 0.500 x1
F1 0.000 0.000 0.000 x1

Results
For the calculated total energy, the calculation gives -3.500 eV/atom. For the total magnetization, the calculation gives 0.0 μB per cell. As for the calculated density: 6.0 g cm⁻³. For the volume, the calculation gives 137 Å³/f.u.


2.
BaLi4Au3F12: optimized geometry, PBE.

Cell lengths 7.985, 7.985, 7.985 Å; angles 90.00, 90.00, 90.00 degrees
Space group Im-3 (No. 204)
Asymmetric unit:
Ba1 0.000 0.000 0.000 x2
Li1 0.250 0.250 0.250 x8
Au1 0.000 0.000 0.500 x6
F1 0.000 0.180 0.299 x24

Results
For the calculated total energy, the calculation gives -4.244 eV/atom. For the total magnetization, the calculation gives 6.0 μB per cell. As for the calculated density: 6.4 g cm⁻³. For the volume, the calculation gives 255 Å³/f.u.


3.
BaNa2AuF8: optimized geometry, PBE.

Cell lengths 4.430, 5.669, 7.926 Å; angles 94.90, 94.46, 91.13 degrees
Space group P-1 (No. 2)
Asymmetric unit:
Ba1 0.000 0.000 0.000 x1
Na1 0.447 0.455 0.765 x2
Au1 0.000 0.000 0.500 x1
F1 0.084 0.742 0.277 x2
F2 0.166 0.815 0.687 x2
F3 0.353 0.218 0.506 x2
F4 0.494 0.259 0.012 x2

Results
For the calculated total energy, the calculation gives -4.170 eV/atom. For the total magnetization, the calculation gives 1.0 μB per cell. As for the calculated density: 4.5 g cm⁻³. For the volume, the calculation gives 198 Å³/f.u.


4.
BaNaAu2F8: optimized geometry, PBE.

Cell lengths 6.085, 6.085, 10.314 Å; angles 90.00, 90.00, 90.00 degrees
Space group I-4 (No. 82)
Asymmetric unit:
Ba1 0.000 0.000 0.000 x2
Na1 0.000 0.500 0.750 x2
Au1 0.000 0.000 0.500 x2
Au2 0.000 0.500 0.250 x2
F1 0.089 0.312 0.513 x8
F2 0.159 0.812 0.226 x8

Results
For the calculated total energy, the calculation gives -4.037 eV/atom. For the total magnetization, the calculation gives 1.8 μB per cell. As for the calculated density: 6.1 g cm⁻³. For the volume, the calculation gives 191 Å³/f.u.